# 1
Here is crystalline CsErZn at its relaxed geometry from the Open Quantum Materials Database. Energies are from PBE.

Cell lengths 7.688, 7.688, 7.688 Å; angles 90.00, 90.00, 90.00 degrees
Space group F-43m (No. 216)
Inequivalent atoms, fractional coordinates:
Cs: 0.000 0.000 0.000 [4 per cell]
Er: 0.250 0.250 0.250 [4 per cell]
Zn: 0.000 0.000 0.500 [4 per cell]

Total magnetization ... 0.01 μB/atom
Total DFT energy (no corrections) ... -1.3679 eV/atom

# 2
Here is crystalline TbHo2Ge3PdPt2 at its relaxed geometry from the Open Quantum Materials Database. Energies are from PBE.

Cell lengths 3.907, 12.541, 7.220 Å; angles 90.00, 90.00, 90.00 degrees
Space group Amm2 (No. 38)
Inequivalent atoms, fractional coordinates:
Tb: 0.000 0.000 0.000 [2 per cell]
Ho: 0.000 0.203 0.390 [4 per cell]
Ge: 0.500 0.000 0.338 [2 per cell]
Ge: 0.500 0.128 0.721 [4 per cell]
Pd: 0.000 0.000 0.591 [2 per cell]
Pt: 0.500 0.168 0.094 [4 per cell]

Total magnetization ... 0.00 μB/atom
Total DFT energy (no corrections) ... -6.0147 eV/atom

# 3
Here is crystalline NbGaSb at its relaxed geometry from the Open Quantum Materials Database. Energies are from PBE.

Cell lengths 6.608, 6.608, 6.608 Å; angles 90.00, 90.00, 90.00 degrees
Space group F-43m (No. 216)
Inequivalent atoms, fractional coordinates:
Nb: 0.000 0.000 0.000 [4 per cell]
Ga: 0.000 0.000 0.500 [4 per cell]
Sb: 0.250 0.250 0.750 [4 per cell]

Total magnetization ... 0.33 μB/atom
Total DFT energy (no corrections) ... -5.1727 eV/atom

# 4
Here is crystalline Ni2GeAu at its relaxed geometry from the Open Quantum Materials Database. Energies are from PBE.

Cell lengths 6.026, 6.026, 6.026 Å; angles 90.00, 90.00, 90.00 degrees
Space group F-43m (No. 216)
Inequivalent atoms, fractional coordinates:
Ni: 0.000 0.000 0.000 [4 per cell]
Ni: 0.250 0.250 0.250 [4 per cell]
Ge: 0.000 0.000 0.500 [4 per cell]
Au: 0.250 0.250 0.750 [4 per cell]

Total magnetization ... 0.00 μB/atom
Total DFT energy (no corrections) ... -4.6953 eV/atom

# 5
Here is crystalline InReAg at its relaxed geometry from the Open Quantum Materials Database. Energies are from PBE.

Cell lengths 6.393, 6.393, 6.393 Å; angles 90.00, 90.00, 90.00 degrees
Space group F-43m (No. 216)
Inequivalent atoms, fractional coordinates:
In: 0.000 0.000 0.000 [4 per cell]
Re: 0.250 0.250 0.750 [4 per cell]
Ag: 0.000 0.000 0.500 [4 per cell]

Total magnetization ... 0.71 μB/atom
Total DFT energy (no corrections) ... -4.8666 eV/atom

# 6
Here is crystalline Al5Ni at its relaxed geometry from the Open Quantum Materials Database. Energies are from PBE.

Cell lengths 5.310, 8.136, 8.526 Å; angles 90.00, 90.00, 90.00 degrees
Space group Cmcm (No. 63)
Inequivalent atoms, fractional coordinates:
Al: 0.000 0.000 0.000 [4 per cell]
Al: 0.000 0.341 0.066 [8 per cell]
Al: 0.242 0.401 0.750 [8 per cell]
Ni: 0.000 0.153 0.750 [4 per cell]

Total magnetization ... 0.00 μB/atom
Total DFT energy (no corrections) ... -4.1571 eV/atom

# 7
Here is crystalline NaHoMgSe3 at its relaxed geometry from the Open Quantum Materials Database. Energies are from PBE.

Cell lengths 4.136, 13.802, 11.130 Å; angles 90.00, 90.00, 90.00 degrees
Space group Cmcm (No. 63)
Inequivalent atoms, fractional coordinates:
Na: 0.000 0.248 0.250 [4 per cell]
Ho: 0.000 0.000 0.000 [4 per cell]
Mg: 0.000 0.471 0.750 [4 per cell]
Se: 0.000 0.083 0.750 [4 per cell]
Se: 0.000 0.366 0.565 [8 per cell]

Total magnetization ... 0.00 μB/atom
Total DFT energy (no corrections) ... -4.4382 eV/atom

# 8
Here is crystalline Li6BiPd at its relaxed geometry from the Open Quantum Materials Database. Energies are from PBE.

Cell lengths 4.480, 4.480, 6.297 Å; angles 90.00, 90.00, 90.00 degrees
Space group P4/mmm (No. 123)
Inequivalent atoms, fractional coordinates:
Li: 0.000 0.000 0.000 [1 per cell]
Li: 0.000 0.500 0.231 [4 per cell]
Li: 0.500 0.500 0.500 [1 per cell]
Bi: 0.000 0.000 0.500 [1 per cell]
Pd: 0.500 0.500 0.000 [1 per cell]

Total DFT energy (no corrections) ... -2.9646 eV/atom

Q: Which of these has the lowest total DFT energy (no corrections)?
A: TbHo2Ge3PdPt2

Q: Among the records above, which one has the highest total DFT energy (no corrections)?
A: CsErZn

Q: What is the formula in the eighth record?
A: Li6BiPd

Please write out number 6 again, unchanged.
Here is crystalline Al5Ni at its relaxed geometry from the Open Quantum Materials Database. Energies are from PBE.

Cell lengths 5.310, 8.136, 8.526 Å; angles 90.00, 90.00, 90.00 degrees
Space group Cmcm (No. 63)
Inequivalent atoms, fractional coordinates:
Al: 0.000 0.000 0.000 [4 per cell]
Al: 0.000 0.341 0.066 [8 per cell]
Al: 0.242 0.401 0.750 [8 per cell]
Ni: 0.000 0.153 0.750 [4 per cell]

Total magnetization ... 0.00 μB/atom
Total DFT energy (no corrections) ... -4.1571 eV/atom